# 1
VASP calculation (PBE) on a relaxed MnCd2P crystal.

```
MnCd2P
1.0
3.0678 0.0000 0.0000
0.0000 3.0739 0.0000
-1.5275 0.0000 7.6387
Mn Cd P
1 2 1
Cartesian
0.0000 0.0000 0.0000
0.0028 1.5369 5.5853
1.5274 0.0000 3.3029
1.5339 1.5369 0.8992
```

Crystal system: monoclinic
Space group: Pm
Total energy, eV per atom: -4.100
Formation energy from the elements, meV per atom: 2.3
Magnetic moment, Bohr magnetons per cell: 2.35


# 2
VASP calculation (PBE) on a relaxed Mn2CdP crystal.

```
Mn2CdP
1.0
2.9556 0.0000 0.0000
0.0000 2.9556 0.0000
0.0000 0.0000 6.9119
Mn Cd P
2 1 1
Cartesian
0.0000 0.0000 0.0000
1.4778 1.4778 1.6911
1.4778 1.4778 4.8595
0.0000 0.0000 2.6035
```

Energy relative to the lowest polymorph listed for this composition, eV/atom: 0.0748
Crystal system: tetragonal
Space group: P4mm
Total energy, eV per atom: -6.116
Formation energy from the elements, meV per atom: 50.0
Magnetic moment, Bohr magnetons per cell: 4.04